Record 1
DFT (PBE-GGA) results for YCdSb2 after structural relaxation.

Cell and atoms, written as POSCAR:
```
YCdSb2
1.0
-1.496 2.072 -2.120
-2.605 -2.051 -0.172
-4.315 4.831 7.766
Cd Sb Y
1 2 1
Direct
0.500 0.500 0.740 Cd
0.000 0.000 0.959 Sb
0.500 0.500 0.289 Sb
0.000 0.000 0.511 Y
```

Values from the calculation:
Raw total energy in eV/atom: -4.10

---

Record 2
DFT (PBE-GGA) results for Y2CdSb after structural relaxation.

Cell and atoms, written as POSCAR:
```
Y2CdSb
1.0
-4.916 -1.672 1.151
-3.958 0.795 -3.462
-2.094 -4.117 -2.637
Y Sb Cd
2 1 1
Direct
0.250 0.250 0.250 Y
0.750 0.750 0.750 Y
0.500 0.500 0.500 Sb
0.000 0.000 0.000 Cd
```

Values from the calculation:
Energy above the most stable polymorph in this dataset in kJ/mol of atoms: 9.5

---

Record 3
DFT (PBE-GGA) results for Y2CdSb after structural relaxation.

Cell and atoms, written as POSCAR:
```
Y2CdSb
1.0
3.941 0.000 0.000
0.000 3.941 0.000
0.000 0.000 6.862
Y Sb Cd
2 1 1
Direct
0.000 0.000 0.756 Y
0.000 0.000 0.244 Y
0.500 0.500 0.000 Sb
0.500 0.500 0.500 Cd
```

Values from the calculation:
Energy above the most stable polymorph in this dataset in kJ/mol of atoms: 0.0

---

Record 4
DFT (PBE-GGA) results for Y2CdSb2 after structural relaxation.

Cell and atoms, written as POSCAR:
```
Y2CdSb2
1.0
-4.718 -1.331 -6.828
-5.901 -3.605 4.780
-1.758 3.567 0.520
Y Sb Cd
4 4 2
Direct
0.353 0.853 0.000 Y
0.853 0.647 0.000 Y
0.647 0.147 0.000 Y
0.147 0.353 0.000 Y
0.157 0.657 0.500 Sb
0.657 0.843 0.500 Sb
0.843 0.343 0.500 Sb
0.343 0.157 0.500 Sb
0.000 0.000 0.000 Cd
0.500 0.500 0.000 Cd
```

Values from the calculation:
Raw total energy in eV/atom: -5.13

---

Record 5
DFT (PBE-GGA) results for Y2CdSb after structural relaxation.

Cell and atoms, written as POSCAR:
```
Y2CdSb
1.0
4.240 0.004 0.001
2.109 3.678 0.001
2.130 1.235 7.700
Cd Sb Y
1 1 2
Direct
0.250 0.250 0.250 Cd
0.750 0.750 0.750 Sb
0.006 0.006 0.983 Y
0.494 0.494 0.517 Y
```

Values from the calculation:
Energy above the most stable polymorph in this dataset in kJ/mol of atoms: 5.2

---

Record 6
DFT (PBE-GGA) results for Y2CdSb after structural relaxation.

Cell and atoms, written as POSCAR:
```
Y2CdSb
1.0
5.378 0.000 0.000
2.689 4.658 0.000
2.689 1.553 4.391
Cd Sb Y
1 1 2
Direct
0.500 0.500 0.500 Cd
0.750 0.750 0.750 Sb
0.000 0.000 0.000 Y
0.250 0.250 0.250 Y
```

Values from the calculation:
Energy above the most stable polymorph in this dataset in kJ/mol of atoms: 56.8